Arrangement 1

# LaAl4, optimized geometry, DFT PBE
data_LaAl4
_space_group_name_H-M_alt 'I 4/m m m'
_space_group_IT_number 139
_space_group_name_Hall '-I 4 2'
_cell_length_a 4.358
_cell_length_b 4.358
_cell_length_c 11.207
_cell_angle_alpha 90.00
_cell_angle_beta 90.00
_cell_angle_gamma 90.00
loop_
_atom_site_label
_atom_site_fract_x
_atom_site_fract_y
_atom_site_fract_z
La1 0.000 0.000 0.000
Al1 0.000 0.000 0.386
Al2 0.000 0.500 0.250
# DOS at the Fermi energy   0.381 states/eV/atom
# Density   3.851 g cm⁻³


Arrangement 2

# LaAl4, optimized geometry, DFT PBE
data_LaAl4
_space_group_name_H-M_alt 'P m -3 m'
_space_group_IT_number 221
_space_group_name_Hall '-P 4 2 3'
_cell_length_a 5.709
_cell_length_b 5.709
_cell_length_c 5.709
_cell_angle_alpha 90.00
_cell_angle_beta 90.00
_cell_angle_gamma 90.00
loop_
_atom_site_label
_atom_site_fract_x
_atom_site_fract_y
_atom_site_fract_z
La1 0.000 0.000 0.000
Al1 0.000 0.000 0.500
Al2 0.500 0.500 0.500
# DOS at the Fermi energy   1.316 states/eV/atom
# Density   2.203 g cm⁻³


Arrangement 3

# LaAl4, optimized geometry, DFT PBE
data_LaAl4
_space_group_name_H-M_alt 'I m -3 m'
_space_group_IT_number 229
_space_group_name_Hall '-I 4 2 3'
_cell_length_a 6.817
_cell_length_b 6.817
_cell_length_c 6.817
_cell_angle_alpha 90.00
_cell_angle_beta 90.00
_cell_angle_gamma 90.00
loop_
_atom_site_label
_atom_site_fract_x
_atom_site_fract_y
_atom_site_fract_z
La1 0.000 0.000 0.000
Al1 0.250 0.250 0.250
# DOS at the Fermi energy   1.394 states/eV/atom
# Density   2.588 g cm⁻³


Stability, lowest: arrangement 2


Arrangement 1

# Li3LaAl, optimized geometry, DFT PBE
data_Li3LaAl
_space_group_name_H-M_alt 'P m -3 m'
_space_group_IT_number 221
_space_group_name_Hall '-P 4 2 3'
_cell_length_a 4.911
_cell_length_b 4.911
_cell_length_c 4.911
_cell_angle_alpha 90.00
_cell_angle_beta 90.00
_cell_angle_gamma 90.00
loop_
_atom_site_label
_atom_site_fract_x
_atom_site_fract_y
_atom_site_fract_z
Li1 0.000 0.000 0.500
La1 0.500 0.500 0.500
Al1 0.000 0.000 0.000
# DOS at the Fermi energy   0.321 states/eV/atom
# Density   2.618 g cm⁻³


Arrangement 2

# Li3LaAl, optimized geometry, DFT PBE
data_Li3LaAl
_space_group_name_H-M_alt 'P m -3 m'
_space_group_IT_number 221
_space_group_name_Hall '-P 4 2 3'
_cell_length_a 5.503
_cell_length_b 5.503
_cell_length_c 5.503
_cell_angle_alpha 90.00
_cell_angle_beta 90.00
_cell_angle_gamma 90.00
loop_
_atom_site_label
_atom_site_fract_x
_atom_site_fract_y
_atom_site_fract_z
Li1 0.000 0.000 0.500
La1 0.000 0.000 0.000
Al1 0.500 0.500 0.500
# DOS at the Fermi energy   0.963 states/eV/atom
# Density   1.860 g cm⁻³


Stability, lowest: arrangement 2


Arrangement 1

# LiLa2Al3, optimized geometry, DFT PBE
data_LiLa2Al3
_space_group_name_H-M_alt 'R -3 m'
_space_group_IT_number 166
_space_group_name_Hall '-R 3 2"'
_cell_length_a 5.7958
_cell_length_b 5.7958
_cell_length_c 14.0207
_cell_angle_alpha 90.00
_cell_angle_beta 90.00
_cell_angle_gamma 120.00
loop_
_atom_site_label
_atom_site_fract_x
_atom_site_fract_y
_atom_site_fract_z
Li1 0.0000 0.0000 0.0000
La1 0.0000 0.0000 0.3831
Al1 0.0000 0.5000 0.5000
# DOS at the Fermi energy   0.610 states/eV/atom
# Density   4.466 g cm⁻³


Arrangement 2

# LiLa2Al3, optimized geometry, DFT PBE
data_LiLa2Al3
_space_group_name_H-M_alt 'F m m m'
_space_group_IT_number 69
_space_group_name_Hall '-F 2 2'
_cell_length_a 7.506
_cell_length_b 9.568
_cell_length_c 16.499
_cell_angle_alpha 90.00
_cell_angle_beta 90.00
_cell_angle_gamma 90.00
loop_
_atom_site_label
_atom_site_fract_x
_atom_site_fract_y
_atom_site_fract_z
Li1 0.000 0.000 0.169
La1 0.234 0.000 0.000
La2 0.250 0.250 0.250
Al1 0.000 0.000 0.337
Al2 0.000 0.240 0.418
# DOS at the Fermi energy   0.815 states/eV/atom
# Density   4.100 g cm⁻³


Stability, lowest: arrangement 2


Arrangement 1

# LiLa2Al2, optimized geometry, DFT PBE
data_LiLa2Al2
_space_group_name_H-M_alt 'P 4/m b m'
_space_group_IT_number 127
_space_group_name_Hall '-P 4 2ab'
_cell_length_a 8.805
_cell_length_b 8.805
_cell_length_c 3.645
_cell_angle_alpha 90.00
_cell_angle_beta 90.00
_cell_angle_gamma 90.00
loop_
_atom_site_label
_atom_site_fract_x
_atom_site_fract_y
_atom_site_fract_z
Li1 0.000 0.000 0.000
La1 0.182 0.318 0.500
Al1 0.109 0.609 0.000
# DOS at the Fermi energy   0.997 states/eV/atom
# Density   3.981 g cm⁻³


Arrangement 2

# LiLa2Al2, optimized geometry, DFT PBE
data_LiLa2Al2
_space_group_name_H-M_alt 'P 4/m b m'
_space_group_IT_number 127
_space_group_name_Hall '-P 4 2ab'
_cell_length_a 9.153
_cell_length_b 9.153
_cell_length_c 3.350
_cell_angle_alpha 90.00
_cell_angle_beta 90.00
_cell_angle_gamma 90.00
loop_
_atom_site_label
_atom_site_fract_x
_atom_site_fract_y
_atom_site_fract_z
Li1 0.000 0.000 0.000
La1 0.181 0.319 0.000
Al1 0.107 0.607 0.500
# DOS at the Fermi energy   0.760 states/eV/atom
# Density   4.008 g cm⁻³


Stability, lowest: arrangement 2


Arrangement 1

# LiLa4Al, optimized geometry, DFT PBE
data_LiLa4Al
_space_group_name_H-M_alt 'P -1'
_space_group_IT_number 2
_cell_length_a 5.073
_cell_length_b 5.098
_cell_length_c 8.208
_cell_angle_alpha 90.09
_cell_angle_beta 90.10
_cell_angle_gamma 90.00
loop_
_space_group_symop_operation_xyz
'x,y,z'
'-x,-y,-z'
loop_
_atom_site_label
_atom_site_fract_x
_atom_site_fract_y
_atom_site_fract_z
Li1 0.000 0.000 0.000
La1 0.001 0.499 0.731
La2 0.500 0.001 0.730
Al1 0.500 0.500 0.500
# DOS at the Fermi energy   1.322 states/eV/atom
# Density   4.612 g cm⁻³


Arrangement 2

# LiLa4Al, optimized geometry, DFT PBE
data_LiLa4Al
_space_group_name_H-M_alt 'C 1 2/m 1'
_space_group_IT_number 12
_cell_length_a 12.744
_cell_length_b 3.943
_cell_length_c 7.747
_cell_angle_alpha 90.00
_cell_angle_beta 107.58
_cell_angle_gamma 90.00
loop_
_space_group_symop_operation_xyz
'x,y,z'
'-x,-y,-z'
'-x,y,-z'
'x,-y,z'
'x+1/2,y+1/2,z'
'-x+1/2,-y+1/2,-z'
'-x+1/2,y+1/2,-z'
'x+1/2,-y+1/2,z'
loop_
_atom_site_label
_atom_site_fract_x
_atom_site_fract_y
_atom_site_fract_z
Li1 0.000 0.000 0.000
La1 0.144 0.500 0.818
La2 0.150 0.500 0.330
Al1 0.000 0.000 0.500
# DOS at the Fermi energy   1.264 states/eV/atom
# Density   5.276 g cm⁻³


Arrangement 3

# LiLa4Al, optimized geometry, DFT PBE
data_LiLa4Al
_space_group_name_H-M_alt 'F -4 3 m'
_space_group_IT_number 216
_space_group_name_Hall 'F -4 2 3'
_cell_length_a 9.249
_cell_length_b 9.249
_cell_length_c 9.249
_cell_angle_alpha 90.00
_cell_angle_beta 90.00
_cell_angle_gamma 90.00
loop_
_atom_site_label
_atom_site_fract_x
_atom_site_fract_y
_atom_site_fract_z
Li1 0.000 0.000 0.000
La1 0.121 0.121 0.379
Al1 0.250 0.250 0.750
# DOS at the Fermi energy   1.172 states/eV/atom
# Density   4.949 g cm⁻³


Stability, lowest: arrangement 3


Arrangement 1

# LiLa2MnAl, optimized geometry, DFT PBE
data_LiLa2MnAl
_space_group_name_H-M_alt 'P 4/m m m'
_space_group_IT_number 123
_space_group_name_Hall '-P 4 2'
_cell_length_a 5.187
_cell_length_b 5.187
_cell_length_c 4.878
_cell_angle_alpha 90.00
_cell_angle_beta 90.00
_cell_angle_gamma 90.00
loop_
_atom_site_label
_atom_site_fract_x
_atom_site_fract_y
_atom_site_fract_z
Li1 0.000 0.000 0.000
La1 0.000 0.500 0.500
Mn1 0.500 0.500 0.500
Al1 0.500 0.500 0.000
# DOS at the Fermi energy   0.815 states/eV/atom
# Density   4.639 g cm⁻³


Arrangement 2

# LiLa2MnAl, optimized geometry, DFT PBE
data_LiLa2MnAl
_space_group_name_H-M_alt 'P 4/m m m'
_space_group_IT_number 123
_space_group_name_Hall '-P 4 2'
_cell_length_a 5.319
_cell_length_b 5.319
_cell_length_c 4.477
_cell_angle_alpha 90.00
_cell_angle_beta 90.00
_cell_angle_gamma 90.00
loop_
_atom_site_label
_atom_site_fract_x
_atom_site_fract_y
_atom_site_fract_z
Li1 0.000 0.000 0.000
La1 0.000 0.500 0.000
Mn1 0.500 0.500 0.500
Al1 0.000 0.000 0.500
# DOS at the Fermi energy   1.224 states/eV/atom
# Density   4.807 g cm⁻³


Stability, lowest: arrangement 2